No. 1
Below is a relaxed BaIrBr crystal, with properties calculated at the PBE-GGA level.

The structure belongs to space group Imma (No. 74); the cell edges are 6.1088, 9.6093 and 5.7517 Å and the angles 90.00°, 90.00° and 90.00°. The inequivalent atoms are Ba at (0.0000, 0.0000, 0.0000), Ir at (0.0000, 0.2500, 0.3633) and Br at (0.2500, 0.2500, 0.7500).

The calculation puts the total energy at -4.230 eV/atom. As for the raw formation energy: -78 meV/atom.

No. 2
Below is a relaxed BaIrBr crystal, with properties calculated at the PBE-GGA level.

The structure belongs to space group P-1 (No. 2); the cell edges are 4.3436, 4.3436 and 12.6406 Å and the angles 90.55°, 99.54° and 118.81°. The inequivalent atoms are Ba at (0.1302, 0.0669, 0.1998), Ir at (0.3222, 0.6773, 0.9995) and Br at (0.4320, 0.2194, 0.6453).

The calculation puts the total energy at -5.165 eV/atom. As for the raw formation energy: -1012 meV/atom.

No. 3
Below is a relaxed BaIrBr crystal, with properties calculated at the PBE-GGA level.

The structure belongs to space group I4mm (No. 107); the cell edges are 4.4119, 4.4119 and 10.4736 Å and the angles 90.00°, 90.00° and 90.00°. The inequivalent atoms are Ba at (0.0000, 0.0000, 0.0000), Ir at (0.0000, 0.0000, 0.5609) and Br at (0.0000, 0.0000, 0.3321).

The calculation puts the total energy at -4.131 eV/atom. As for the raw formation energy: 21 meV/atom.

No. 4
Below is a relaxed BaIrBr6 crystal, with properties calculated at the PBE-GGA level.

The structure belongs to space group P-1 (No. 2); the cell edges are 6.9512, 6.9839 and 7.4879 Å and the angles 90.18°, 117.41° and 119.79°. The inequivalent atoms are Ba at (0.0000, 0.0000, 0.0000), Ir at (0.0000, 0.5000, 0.5000), Br at (0.1763, 0.4949, 0.2766), Br at (0.2174, 0.3203, 0.7237) and Br at (0.4015, 0.8956, 0.7240).

The calculation puts the total energy at -3.475 eV/atom. As for the raw formation energy: -872 meV/atom.

No. 5
Below is a relaxed BaIrBr crystal, with properties calculated at the PBE-GGA level.

The structure belongs to space group Cm (No. 8); the cell edges are 19.2011, 4.3902 and 5.2740 Å and the angles 90.00°, 100.40° and 90.00°. The inequivalent atoms are Ba at (0.0000, 0.0000, 0.0000), Ba at (0.2257, 0.5000, 0.8402), Ir at (0.1223, 0.5000, 0.3105), Ir at (0.1663, 0.0000, 0.2778), Br at (0.0035, 0.5000, 0.5246) and Br at (0.3601, 0.0000, 0.9221).

The calculation puts the total energy at -4.963 eV/atom. As for the raw formation energy: -810 meV/atom.

No. 6
Below is a relaxed BaIr4Br crystal, with properties calculated at the PBE-GGA level.

The structure belongs to space group F-43m (No. 216); the cell edges are 7.8336, 7.8336 and 7.8336 Å and the angles 90.00°, 90.00° and 90.00°. The inequivalent atoms are Ba at (0.0000, 0.0000, 0.0000), Ir at (0.1247, 0.1247, 0.3753) and Br at (0.2500, 0.2500, 0.7500).

The calculation puts the total energy at -5.911 eV/atom. As for the raw formation energy: 596 meV/atom.

No. 7
Below is a relaxed BaIrBr crystal, with properties calculated at the PBE-GGA level.

The structure belongs to space group P1 (No. 1); the cell edges are 4.4121, 6.2960 and 9.0239 Å and the angles 110.23°, 101.85° and 91.29°. The inequivalent atoms are Ba at (0.0000, 0.0000, 0.0000), Ba at (0.2731, 0.3100, 0.6177), Ir at (0.3655, 0.8523, 0.7025), Ir at (0.8208, 0.7978, 0.5992), Br at (0.6280, 0.1469, 0.2967) and Br at (0.9091, 0.4647, 0.9312).

The calculation puts the total energy at -4.943 eV/atom. As for the raw formation energy: -790 meV/atom.

No. 8
Below is a relaxed BaIrBr crystal, with properties calculated at the PBE-GGA level.

The structure belongs to space group F-43m (No. 216); the cell edges are 7.0252, 7.0252 and 7.0252 Å and the angles 90.00°, 90.00° and 90.00°. The inequivalent atoms are Ba at (0.0000, 0.0000, 0.0000), Ir at (0.2500, 0.2500, 0.2500) and Br at (0.0000, 0.0000, 0.5000).

The calculation puts the total energy at -3.986 eV/atom. As for the raw formation energy: 166 meV/atom.